(one)
Below is an optimized crystal structure of PuNiH, with properties calculated at the PBE-GGA level.

## Properties
magnetization	5.281	μB/cell
D(E_F)	2.98	states/eV per atom

```
PuNiH
1.0
3.640 0.000 0.000
-1.820 3.152 0.000
0.000 0.000 3.637
Pu Ni H
1 1 1
Cartesian
0.000 0.000 0.000
1.820 1.051 1.819
0.000 2.102 1.819
```

***

(two)
Below is an optimized crystal structure of PuNiH, with properties calculated at the PBE-GGA level.

## Properties
magnetization	5.144	μB/cell
D(E_F)	3.33	states/eV per atom

```
PuNiH
1.0
-1.861 1.861 3.394
1.861 -1.861 3.394
1.861 1.861 -3.394
Pu Ni H
1 1 1
Cartesian
0.000 0.000 0.000
0.000 0.000 3.886
0.000 0.000 2.326
```

***

Winner for stability: (one)